Entry 1:
Density functional theory data (PBE) for an optimized crystal structure of Sn3GeI.

Output
DFT total energy   -16.102 eV/cell
Energy above the most stable polymorph in this dataset   0.00 eV/f.u.
ΔE_f (raw)   415 meV/atom

abc: 5.561 5.561 5.561
angles: 90.00 90.00 90.00
Space group Pm-3m (No. 221)
One atom of each set of equivalent atoms:
Sn  0.000  0.000  0.500
Ge  0.000  0.000  0.000
I  0.500  0.500  0.500

Entry 2:
Density functional theory data (PBE) for an optimized crystal structure of LaCu5P3.

Output
DFT total energy   -182.567 eV/cell
Energy of formation from the pure elements   -445 meV/atom

abc: 3.847 12.269 11.573
angles: 90.00 90.00 90.00
Space group Cmcm (No. 63)
One atom of each set of equivalent atoms:
La  0.000  0.164  0.250
Cu  0.000  0.000  0.000
Cu  0.000  0.193  0.561
Cu  0.000  0.442  0.144
P  0.000  0.118  0.750
P  0.000  0.380  0.553

Entry 3:
Density functional theory data (PBE) for an optimized crystal structure of Tb2HoTm3Te6.

Output
DFT total energy   -121.706 eV/cell
ΔE_f (raw)   -1229 meV/atom

abc: 18.938 4.305 8.713
angles: 90.00 104.20 90.00
Space group C2/m (No. 12)
One atom of each set of equivalent atoms:
Tb  0.168  0.000  0.335
Ho  0.000  0.500  0.000
Tm  0.000  0.500  0.500
Tm  0.168  0.000  0.834
Te  0.002  0.000  0.749
Te  0.165  0.500  0.587
Te  0.167  0.500  0.079

> Which value of DFT total energy does entry 3 give?

-121.706 eV/cell